[1]
NpGa9Co2 | Alexandria | PBE-GGA | relaxed; DFT formation energy = -0.09 eV/atom; theoretical density = 8.4 g/cm3; total moment = 0.368 μB per atom; space group = I4_1/amd, No. 141
1.0
-0.237 2.902 6.651
-2.396 -4.941 6.033
6.819 -0.547 4.444
Np Ga Co
2 18 4
Direct
0.500 0.000 0.000
0.250 0.500 0.500
0.682 0.578 0.180
0.439 0.820 0.422
0.138 0.422 0.180
0.439 0.422 0.820
0.311 0.078 0.680
0.138 0.180 0.422
0.010 0.922 0.680
0.612 0.320 0.078
0.682 0.180 0.578
0.311 0.680 0.078
0.010 0.680 0.922
0.750 0.500 0.500
0.000 0.000 0.000
0.068 0.922 0.320
0.612 0.078 0.320
0.740 0.820 0.578
0.740 0.578 0.820
0.068 0.320 0.922
0.875 0.250 0.250
0.875 0.750 0.250
0.375 0.750 0.750
0.875 0.250 0.750



[2]
NpGa5Co | Alexandria | PBE-GGA | relaxed; DFT formation energy = -0.29 eV/atom; theoretical density = 8.8 g/cm3; total moment = 0.534 μB per atom; space group = P4/mmm, No. 123
1.0
-3.693 -1.589 1.297
1.703 -0.888 3.762
-1.847 6.165 2.291
Np Ga Co
1 5 1
Direct
0.000 0.000 0.000
0.500 0.500 0.000
0.000 0.500 0.691
0.500 0.000 0.309
0.500 0.000 0.691
0.000 0.500 0.309
0.000 0.000 0.500



[3]
NpGa2Co | Alexandria | PBE-GGA | relaxed; DFT formation energy = -0.11 eV/atom; theoretical density = 12.4 g/cm3; total moment = 0.097 μB per atom; space group = P4/mmm, No. 123
1.0
-2.174 -0.644 1.445
1.175 -2.303 0.741
3.183 3.693 6.433
Co Np Ga
1 1 2
Direct
0.500 0.500 0.000
0.500 0.500 0.500
0.000 0.000 0.200
0.000 0.000 0.800